VASP calculation (PBE) on K4La3PuS8 after structural relaxation.

a = 8.521 Å, b = 8.846 Å, c = 8.521 Å
α = 118.81°, β = 120.00°, γ = 90.00°
Last column: magnetic moment on the atom in μB.
Sites, in units of the cell vectors:
S 0.743 0.705 0.974  0.03
S 0.737 0.709 0.473  0.00
S 0.231 0.705 0.974  0.03
S 0.769 0.295 0.537  0.03
S 0.257 0.295 0.026  0.03
S 0.231 0.705 0.463  0.03
S 0.263 0.291 0.527  0.00
S 0.769 0.295 0.026  0.03
K 0.000 0.000 0.000  0.00
K 0.000 0.000 0.500  0.00
K 0.500 0.000 0.000  0.00
K 0.500 0.000 0.500  0.00
La 0.500 0.500 0.500  -0.01
La 0.000 0.500 0.500  -0.01
La 0.500 0.500 0.000  -0.01
Pu 0.000 0.500 0.000  -5.01

Computed properties:
Formation energy (no corrections) in meV per atom: -1823.2
Density of states at the Fermi level in states/eV per cell: 12.6
Total magnetic moment in μB/atom: 0.31
Space-group type: R-3m (166)